Crystalline CrTcW2 at its relaxed geometry. Source: the Alexandria database, functional PBE.

Computed properties:
volume	59.30	Å³ per cell
formation energy from the elements	0.41	eV/f.u.
symmetry	C2/m (12)
energy above the lowest structure with this stoichiometry	1.95	kcal/mol of atoms

Lattice parameters (Å, degrees): 5.1013 5.1013 2.7032 100.32 100.32 116.33
Closest atoms and distances in Å follow each position.
Fractional coordinates of all 4 atoms:
Cr 0.0000 0.0000 0.0000  4 W 2.66, 2 Tc 2.69, 2 Cr 2.70
Tc 0.5000 0.5000 0.0000  4 W 2.66, 2 Cr 2.69, 2 Tc 2.70
W 0.0000 0.5000 0.5000  2 Cr 2.66, 2 Tc 2.66, 4 W 2.69-2.70
W 0.5000 0.0000 0.5000  2 Cr 2.66, 2 Tc 2.66, 4 W 2.69-2.70